[1]
First-principles (GGA-PBE) data for NdTa2Os2 after structural relaxation, as listed in the Alexandria database.

a b c (Å): 4.4001 4.4001 6.2500
angles (deg): 110.61 110.61 90.00
Fractional positions:
Nd 0.0000 0.0000 0.0000
Ta 0.7500 0.2500 0.5000
Ta 0.2500 0.7500 0.5000
Os 0.6196 0.6196 0.2391
Os 0.3804 0.3804 0.7609

Output
space group	No. 139

---

[2]
First-principles (GGA-PBE) data for NdTaOs after structural relaxation, as listed in the Alexandria database.

a b c (Å): 4.4931 4.4931 6.8837
angles (deg): 90.00 90.00 90.00
Fractional positions:
Nd 0.0000 0.5000 0.8577
Nd 0.5000 0.0000 0.1423
Os 0.0000 0.5000 0.3066
Os 0.5000 0.0000 0.6934
Ta 0.5000 0.5000 0.5000
Ta 0.0000 0.0000 0.5000

Output
space group	No. 129

---

[3]
First-principles (GGA-PBE) data for NdTaOs2 after structural relaxation, as listed in the Alexandria database.

a b c (Å): 4.4222 4.4222 5.8445
angles (deg): 67.77 67.77 60.00
Fractional positions:
Nd 0.5000 0.5000 0.5000
Os 0.3006 0.3006 0.0981
Os 0.6994 0.6994 0.9019
Ta 0.0000 0.0000 0.0000

Output
space group	No. 166

---

[4]
First-principles (GGA-PBE) data for TbNd3Os after structural relaxation, as listed in the Alexandria database.

a b c (Å): 6.7495 7.0317 7.0317
angles (deg): 92.78 75.57 75.57
Fractional positions:
Tb 0.7627 0.9364 0.9364
Tb 0.2373 0.0636 0.0636
Nd 0.2368 0.0649 0.5657
Nd 0.2368 0.5657 0.0649
Nd 0.7632 0.4343 0.9350
Nd 0.2260 0.5705 0.5705
Nd 0.7632 0.9350 0.4343
Nd 0.7740 0.4295 0.4295
Os 0.4928 0.2489 0.2489
Os 0.5072 0.7511 0.7511

Output
space group	No. 12
E above lowest polymorph	0.000	eV/atom

---

[5]
First-principles (GGA-PBE) data for TbNd2Os after structural relaxation, as listed in the Alexandria database.

a b c (Å): 6.4720 7.4611 9.5300
angles (deg): 90.00 90.00 90.00
Fractional positions:
Tb 0.6412 0.5432 0.2500
Tb 0.8588 0.0432 0.2500
Tb 0.3588 0.4568 0.7500
Tb 0.1412 0.9568 0.7500
Nd 0.1709 0.6755 0.0647
Nd 0.3291 0.1755 0.4353
Nd 0.8291 0.3245 0.5647
Nd 0.6709 0.8245 0.9353
Nd 0.8291 0.3245 0.9353
Nd 0.6709 0.8245 0.5647
Nd 0.1709 0.6755 0.4353
Nd 0.3291 0.1755 0.0647
Os 0.0384 0.3843 0.2500
Os 0.4616 0.8843 0.2500
Os 0.9616 0.6157 0.7500
Os 0.5384 0.1157 0.7500

Output
space group	No. 62
E above lowest polymorph	0.000	eV/atom

---

[6]
First-principles (GGA-PBE) data for TbNd2Os after structural relaxation, as listed in the Alexandria database.

a b c (Å): 3.5928 3.5928 11.1637
angles (deg): 80.74 80.74 60.00
Fractional positions:
Tb 0.0000 0.0000 0.0000
Os 0.5000 0.5000 0.5000
Nd 0.1063 0.1063 0.6812
Nd 0.8937 0.8937 0.3188

Output
space group	No. 166
E above lowest polymorph	0.537	eV/atom

---

[7]
First-principles (GGA-PBE) data for Tb3NdOs after structural relaxation, as listed in the Alexandria database.

a b c (Å): 5.7315 7.4506 8.9547
angles (deg): 90.00 90.00 128.62
Fractional positions:
Tb 0.9976 0.2147 0.0360
Tb 0.0024 0.7853 0.9640
Tb 0.9976 0.2147 0.4640
Tb 0.0024 0.7853 0.5360
Tb 0.5872 0.2513 0.7500
Tb 0.4128 0.7487 0.2500
Nd 0.3931 0.6449 0.7500
Nd 0.6069 0.3551 0.2500
Os 0.9885 0.0823 0.7500
Os 0.0115 0.9177 0.2500

Output
space group	No. 11
E above lowest polymorph	0.000	eV/atom

---

[8]
First-principles (GGA-PBE) data for TbNd3Os after structural relaxation, as listed in the Alexandria database.

a b c (Å): 5.6012 5.6012 5.6012
angles (deg): 90.00 90.00 90.00
Fractional positions:
Tb 0.5000 0.5000 0.5000
Os 0.0000 0.0000 0.0000
Nd 0.0000 0.5000 0.0000
Nd 0.0000 0.0000 0.5000
Nd 0.5000 0.0000 0.0000

Output
space group	No. 221
E above lowest polymorph	0.148	eV/atom

---

[9]
First-principles (GGA-PBE) data for TbNd2Os after structural relaxation, as listed in the Alexandria database.

a b c (Å): 4.0882 6.3944 9.2798
angles (deg): 90.00 90.00 108.65
Fractional positions:
Tb 0.9201 0.8403 0.2500
Tb 0.0799 0.1597 0.7500
Nd 0.3576 0.7153 0.5676
Nd 0.6424 0.2847 0.4324
Nd 0.3576 0.7153 0.9324
Nd 0.6424 0.2847 0.0676
Os 0.7396 0.4789 0.7500
Os 0.2604 0.5211 0.2500

Output
space group	No. 63
E above lowest polymorph	0.018	eV/atom

---

[10]
First-principles (GGA-PBE) data for Tb3NdOs after structural relaxation, as listed in the Alexandria database.

a b c (Å): 6.3216 6.5025 7.7419
angles (deg): 90.00 90.00 90.00
Fractional positions:
Tb 0.4216 0.3375 0.2008
Tb 0.4258 0.8530 0.9518
Tb 0.9257 0.4998 0.4518
Tb 0.9215 0.0152 0.7007
Tb 0.9257 0.4998 0.9498
Tb 0.4257 0.8530 0.4498
Nd 0.4301 0.3297 0.7008
Nd 0.9301 0.0230 0.2007
Os 0.1751 0.6795 0.7008
Os 0.6751 0.6733 0.2008

Output
space group	No. 31
E above lowest polymorph	0.029	eV/atom

---

[11]
First-principles (GGA-PBE) data for Tb3NdOs after structural relaxation, as listed in the Alexandria database.

a b c (Å): 5.4697 5.4697 5.4697
angles (deg): 90.00 90.00 90.00
Fractional positions:
Tb 0.0000 0.5000 0.0000
Tb 0.0000 0.0000 0.5000
Tb 0.5000 0.0000 0.0000
Os 0.0000 0.0000 0.0000
Nd 0.5000 0.5000 0.5000

Output
space group	No. 221
E above lowest polymorph	0.096	eV/atom

---

[12]
First-principles (GGA-PBE) data for TbNdZnOs after structural relaxation, as listed in the Alexandria database.

a b c (Å): 5.0063 5.0063 5.0063
angles (deg): 60.00 60.00 60.00
Fractional positions:
Tb 0.7500 0.7500 0.7500
Zn 0.0000 0.0000 0.0000
Os 0.5000 0.5000 0.5000
Nd 0.2500 0.2500 0.2500

Output
space group	No. 216

---

Number 1: energy relative to the elements -294 meV per atom. Number 2: energy relative to the elements -185 meV per atom. Number 3: energy relative to the elements 137 meV per atom. Number 4: energy relative to the elements 9 meV per atom. Number 5: energy relative to the elements -138 meV per atom. Number 6: energy relative to the elements 399 meV per atom. Number 7: energy relative to the elements -80 meV per atom. Number 8: energy relative to the elements 157 meV per atom. Number 9: energy relative to the elements -121 meV per atom. Number 10: energy relative to the elements -51 meV per atom. Number 11: energy relative to the elements 17 meV per atom. Number 12: energy relative to the elements -172 meV per atom.